A geometry-optimized BaNi2SnS structure. Source: Alexandria via LeMat-Bulk, functional PBE.

a = 4.938 Å, b = 4.938 Å, c = 5.815 Å
α = 90.00°, β = 90.00°, γ = 90.00°
Space group P4/mmm (No. 123)
One atom of each set of equivalent atoms:
Ba  0.000  0.000  0.000 (multiplicity 1)
Ni  0.000  0.500  0.000 (multiplicity 2)
Sn  0.500  0.500  0.500 (multiplicity 1)
S  0.000  0.000  0.500 (multiplicity 1)

## Properties
- Energy relative to the elements, uncorrected: 1.09 eV per atom
- Calculated total energy: -3.229 eV per atom

A geometry-optimized Ba2TaNiS5 structure. Source: Alexandria via LeMat-Bulk, functional PBE.

a = 3.786 Å, b = 18.168 Å, c = 12.559 Å
α = 90.00°, β = 90.00°, γ = 90.00°
Space group Cmc2_1 (No. 36)
One atom of each set of equivalent atoms:
Ba  0.000  0.120  0.000 (multiplicity 4)
Ba  0.000  0.123  0.627 (multiplicity 4)
Ta  0.000  0.193  0.322 (multiplicity 4)
Ni  0.000  0.417  0.753 (multiplicity 4)
S  0.000  0.062  0.348 (multiplicity 4)
S  0.000  0.294  0.957 (multiplicity 4)
S  0.000  0.302  0.686 (multiplicity 4)
S  0.000  0.332  0.316 (multiplicity 4)
S  0.000  0.490  0.610 (multiplicity 4)

## Properties
- Energy relative to the elements, uncorrected: -1.29 eV per atom
- Calculated total energy: -5.974 eV per atom

A geometry-optimized BaThNiS4 structure. Source: Alexandria via LeMat-Bulk, functional PBE.

a = 6.194 Å, b = 15.696 Å, c = 6.425 Å
α = 90.00°, β = 90.00°, γ = 90.00°
Space group Cmcm (No. 63)
One atom of each set of equivalent atoms:
Ba  0.000  0.105  0.250 (multiplicity 4)
Th  0.000  0.373  0.250 (multiplicity 4)
Ni  0.000  0.229  0.750 (multiplicity 4)
S  0.000  0.087  0.750 (multiplicity 4)
S  0.000  0.448  0.750 (multiplicity 4)
S  0.250  0.250  0.000 (multiplicity 8)

## Properties
- Energy relative to the elements, uncorrected: -1.42 eV per atom
- Calculated total energy: -5.943 eV per atom

A geometry-optimized Ba2ThNiS5 structure. Source: Alexandria via LeMat-Bulk, functional PBE.

a = 4.192 Å, b = 17.930 Å, c = 13.059 Å
α = 90.00°, β = 90.00°, γ = 90.00°
Space group Cmc2_1 (No. 36)
One atom of each set of equivalent atoms:
Ba  0.000  0.117  0.000 (multiplicity 4)
Ba  0.000  0.119  0.352 (multiplicity 4)
Th  0.000  0.191  0.683 (multiplicity 4)
Ni  0.000  0.439  0.075 (multiplicity 4)
S  0.000  0.039  0.641 (multiplicity 4)
S  0.000  0.306  0.325 (multiplicity 4)
S  0.000  0.312  0.037 (multiplicity 4)
S  0.000  0.343  0.675 (multiplicity 4)
S  0.000  0.499  0.925 (multiplicity 4)

## Properties
- Energy relative to the elements, uncorrected: -1.62 eV per atom
- Calculated total energy: -5.810 eV per atom

A geometry-optimized Ba2TiNiS5 structure. Source: Alexandria via LeMat-Bulk, functional PBE.

a = 3.883 Å, b = 17.991 Å, c = 12.507 Å
α = 90.00°, β = 90.00°, γ = 90.00°
Space group Cmc2_1 (No. 36)
One atom of each set of equivalent atoms:
Ba  0.000  0.124  0.000 (multiplicity 4)
Ba  0.000  0.124  0.376 (multiplicity 4)
Ti  0.000  0.200  0.699 (multiplicity 4)
Ni  0.000  0.424  0.119 (multiplicity 4)
S  0.000  0.063  0.703 (multiplicity 4)
S  0.000  0.298  0.328 (multiplicity 4)
S  0.000  0.304  0.065 (multiplicity 4)
S  0.000  0.333  0.689 (multiplicity 4)
S  0.000  0.493  0.971 (multiplicity 4)

## Properties
- Energy relative to the elements, uncorrected: -1.35 eV per atom
- Calculated total energy: -5.590 eV per atom

A geometry-optimized BaUNi2S4 structure. Source: Alexandria via LeMat-Bulk, functional PBE.

a = 6.204 Å, b = 7.222 Å, c = 8.245 Å
α = 90.00°, β = 90.00°, γ = 90.00°
Space group I222 (No. 23)
One atom of each set of equivalent atoms:
Ba  0.000  0.000  0.000 (multiplicity 2)
U  0.000  0.000  0.500 (multiplicity 2)
Ni  0.000  0.500  0.146 (multiplicity 4)
S  0.240  0.193  0.305 (multiplicity 8)

## Properties
- Energy relative to the elements, uncorrected: -0.90 eV per atom
- Calculated total energy: -6.057 eV per atom

A geometry-optimized BaU2Ni2S6 structure. Source: Alexandria via LeMat-Bulk, functional PBE.

a = 6.994 Å, b = 7.054 Å, c = 7.255 Å
α = 91.40°, β = 116.67°, γ = 119.26°
Space group P-1 (No. 2)
One atom of each set of equivalent atoms:
Ba  0.000  0.000  0.000 (multiplicity 1)
U  0.341  0.332  0.672 (multiplicity 2)
Ni  0.126  0.690  0.662 (multiplicity 2)
S  0.160  0.909  0.454 (multiplicity 2)
S  0.216  0.460  0.317 (multiplicity 2)
S  0.447  0.699  0.928 (multiplicity 2)

## Properties
- Energy relative to the elements, uncorrected: -1.15 eV per atom
- Calculated total energy: -6.681 eV per atom

A geometry-optimized BaU4Ni3S12 structure. Source: Alexandria via LeMat-Bulk, functional PBE.

a = 9.645 Å, b = 9.645 Å, c = 9.645 Å
α = 90.00°, β = 90.00°, γ = 90.00°
Space group Im-3 (No. 204)
One atom of each set of equivalent atoms:
Ba  0.000  0.000  0.000 (multiplicity 2)
U  0.250  0.250  0.250 (multiplicity 8)
Ni  0.000  0.000  0.500 (multiplicity 6)
S  0.000  0.323  0.159 (multiplicity 24)

## Properties
- Energy relative to the elements, uncorrected: -1.01 eV per atom
- Calculated total energy: -6.707 eV per atom

A geometry-optimized Ba2UNi2S6 structure. Source: Alexandria via LeMat-Bulk, functional PBE.

a = 12.216 Å, b = 7.095 Å, c = 7.522 Å
α = 90.00°, β = 123.49°, γ = 90.00°
Space group C2/m (No. 12)
One atom of each set of equivalent atoms:
Ba  0.232  0.000  0.216 (multiplicity 4)
U  0.000  0.000  0.500 (multiplicity 2)
Ni  0.047  0.500  0.196 (multiplicity 4)
S  0.045  0.246  0.786 (multiplicity 8)
S  0.245  0.000  0.654 (multiplicity 4)

## Properties
- Energy relative to the elements, uncorrected: -1.23 eV per atom
- Calculated total energy: -5.909 eV per atom

A geometry-optimized BaU2NiS4 structure. Source: Alexandria via LeMat-Bulk, functional PBE.

a = 3.932 Å, b = 13.398 Å, c = 13.462 Å
α = 90.00°, β = 90.00°, γ = 90.00°
Space group Cmcm (No. 63)
One atom of each set of equivalent atoms:
Ba  0.000  0.103  0.250 (multiplicity 4)
U  0.000  0.366  0.059 (multiplicity 8)
Ni  0.000  0.165  0.750 (multiplicity 4)
S  0.000  0.000  0.000 (multiplicity 4)
S  0.000  0.265  0.616 (multiplicity 8)
S  0.000  0.424  0.250 (multiplicity 4)

## Properties
- Energy relative to the elements, uncorrected: -1.40 eV per atom
- Calculated total energy: -7.254 eV per atom

A geometry-optimized BaUNiS4 structure. Source: Alexandria via LeMat-Bulk, functional PBE.

a = 6.335 Å, b = 5.957 Å, c = 8.566 Å
α = 90.00°, β = 107.57°, γ = 90.00°
Space group P2_1/m (No. 11)
One atom of each set of equivalent atoms:
Ba  0.247  0.250  0.442 (multiplicity 2)
U  0.250  0.250  0.944 (multiplicity 2)
Ni  0.274  0.750  0.162 (multiplicity 2)
S  0.063  0.750  0.911 (multiplicity 2)
S  0.074  0.750  0.340 (multiplicity 2)
S  0.476  0.515  0.788 (multiplicity 4)

## Properties
- Energy relative to the elements, uncorrected: -1.32 eV per atom
- Calculated total energy: -6.389 eV per atom

A geometry-optimized BaUNiS5 structure. Source: Alexandria via LeMat-Bulk, functional PBE.

a = 7.775 Å, b = 11.513 Å, c = 9.728 Å
α = 90.00°, β = 108.89°, γ = 90.00°
Space group C2/c (No. 15)
One atom of each set of equivalent atoms:
Ba  0.000  0.167  0.250 (multiplicity 4)
U  0.000  0.500  0.000 (multiplicity 4)
Ni  0.000  0.174  0.750 (multiplicity 4)
S  0.000  0.435  0.250 (multiplicity 4)
S  0.072  0.292  0.597 (multiplicity 8)
S  0.166  0.058  0.924 (multiplicity 8)

## Properties
- Energy relative to the elements, uncorrected: -1.07 eV per atom
- Calculated total energy: -6.023 eV per atom

A geometry-optimized BaZrNiS4 structure. Source: Alexandria via LeMat-Bulk, functional PBE.

a = 6.373 Å, b = 5.720 Å, c = 8.566 Å
α = 90.00°, β = 107.90°, γ = 90.00°
Space group P2_1/m (No. 11)
One atom of each set of equivalent atoms:
Ba  0.243  0.250  0.054 (multiplicity 2)
Zr  0.265  0.250  0.557 (multiplicity 2)
Ni  0.253  0.750  0.333 (multiplicity 2)
S  0.013  0.506  0.698 (multiplicity 4)
S  0.437  0.750  0.593 (multiplicity 2)
S  0.438  0.750  0.152 (multiplicity 2)

## Properties
- Energy relative to the elements, uncorrected: -1.25 eV per atom
- Calculated total energy: -5.933 eV per atom

A geometry-optimized Ba2ZrNiS5 structure. Source: Alexandria via LeMat-Bulk, functional PBE.

a = 3.978 Å, b = 17.812 Å, c = 12.796 Å
α = 90.00°, β = 90.00°, γ = 90.00°
Space group Cmc2_1 (No. 36)
One atom of each set of equivalent atoms:
Ba  0.000  0.120  0.000 (multiplicity 4)
Ba  0.000  0.124  0.362 (multiplicity 4)
Zr  0.000  0.194  0.689 (multiplicity 4)
Ni  0.000  0.431  0.101 (multiplicity 4)
S  0.000  0.048  0.678 (multiplicity 4)
S  0.000  0.304  0.323 (multiplicity 4)
S  0.000  0.307  0.050 (multiplicity 4)
S  0.000  0.336  0.681 (multiplicity 4)
S  0.000  0.494  0.949 (multiplicity 4)

## Properties
- Energy relative to the elements, uncorrected: -1.47 eV per atom
- Calculated total energy: -5.785 eV per atom

A geometry-optimized BaZr2Ni2S6 structure. Source: Alexandria via LeMat-Bulk, functional PBE.

a = 6.846 Å, b = 7.077 Å, c = 7.310 Å
α = 61.37°, β = 62.31°, γ = 61.54°
Space group P-1 (No. 2)
One atom of each set of equivalent atoms:
Ba  0.000  0.000  0.000 (multiplicity 1)
Zr  0.332  0.354  0.990 (multiplicity 2)
Ni  0.320  0.669  0.559 (multiplicity 2)
S  0.074  0.478  0.753 (multiplicity 2)
S  0.333  0.915  0.231 (multiplicity 2)
S  0.469  0.696  0.751 (multiplicity 2)

## Properties
- Energy relative to the elements, uncorrected: -1.15 eV per atom
- Calculated total energy: -6.181 eV per atom

A geometry-optimized Ba2NiSb structure. Source: Alexandria via LeMat-Bulk, functional PBE.

a = 8.969 Å, b = 8.969 Å, c = 6.602 Å
α = 90.00°, β = 90.00°, γ = 90.00°
Space group I-42d (No. 122)
One atom of each set of equivalent atoms:
Ba  0.188  0.750  0.125 (multiplicity 8)
Ni  0.000  0.000  0.000 (multiplicity 4)
Sb  0.000  0.000  0.500 (multiplicity 4)

## Properties
- Energy relative to the elements, uncorrected: -0.15 eV per atom
- Calculated total energy: -3.583 eV per atom

A geometry-optimized Ba2NiSb structure. Source: Alexandria via LeMat-Bulk, functional PBE.

a = 12.632 Å, b = 4.412 Å, c = 5.235 Å
α = 90.00°, β = 114.47°, γ = 90.00°
Space group Cm (No. 8)
One atom of each set of equivalent atoms:
Ba  0.000  0.000  0.000 (multiplicity 2)
Ba  0.213  0.000  0.713 (multiplicity 2)
Ni  0.401  0.000  0.398 (multiplicity 2)
Sb  0.293  0.500  0.293 (multiplicity 2)

## Properties
- Energy relative to the elements, uncorrected: -0.38 eV per atom
- Calculated total energy: -3.814 eV per atom

A geometry-optimized BaNiSb3 structure. Source: Alexandria via LeMat-Bulk, functional PBE.

a = 6.013 Å, b = 6.785 Å, c = 7.064 Å
α = 90.00°, β = 90.03°, γ = 90.00°
Space group Pm (No. 6)
One atom of each set of equivalent atoms:
Ba  0.000  0.000  0.000 (multiplicity 1)
Ba  0.499  0.500  0.317 (multiplicity 1)
Ni  0.297  0.000  0.587 (multiplicity 1)
Ni  0.797  0.500  0.729 (multiplicity 1)
Sb  0.101  0.500  0.973 (multiplicity 1)
Sb  0.486  0.257  0.809 (multiplicity 2)
Sb  0.601  0.000  0.343 (multiplicity 1)
Sb  0.986  0.243  0.508 (multiplicity 2)

## Properties
- Energy relative to the lowest polymorph listed for this composition: 0.0 meV/atom
- Energy relative to the elements, uncorrected: -0.45 eV per atom
- Calculated total energy: -4.460 eV per atom

A geometry-optimized Ba2NiSb structure. Source: Alexandria via LeMat-Bulk, functional PBE.

a = 4.878 Å, b = 4.878 Å, c = 6.904 Å
α = 90.00°, β = 90.00°, γ = 90.00°
Space group P4mm (No. 99)
One atom of each set of equivalent atoms:
Ba  0.000  0.000  0.000 (multiplicity 1)
Ba  0.500  0.500  0.499 (multiplicity 1)
Ni  0.000  0.000  0.503 (multiplicity 1)
Sb  0.500  0.500  0.998 (multiplicity 1)

## Properties
- Energy relative to the elements, uncorrected: -0.15 eV per atom
- Calculated total energy: -3.589 eV per atom

A geometry-optimized Ba2NiSb structure. Source: Alexandria via LeMat-Bulk, functional PBE.

a = 5.001 Å, b = 5.996 Å, c = 9.669 Å
α = 90.00°, β = 90.00°, γ = 90.00°
Space group Cmm2 (No. 35)
One atom of each set of equivalent atoms:
Ba  0.000  0.000  0.000 (multiplicity 2)
Ba  0.000  0.500  0.411 (multiplicity 2)
Ni  0.000  0.000  0.674 (multiplicity 2)
Sb  0.000  0.500  0.749 (multiplicity 2)

## Properties
- Energy relative to the elements, uncorrected: -0.08 eV per atom
- Calculated total energy: -3.517 eV per atom